# 1
This record from Alexandria via LeMat-Bulk describes a relaxed structure of SrLa2Be. The functional is PBE.

* V: 32.28 A^3/atom
* calculated formation energy: 0.251 eV/atom
* spin magnetization: 0.00 Bohr magnetons per cell
* density of states at the Fermi level: 5.6 states/eV per cell
* symmetry: No. 71
* theoretical density: 4.8 Mg/m³

Cell lengths 7.0618, 7.0618, 7.0618 Å; angles 149.95, 132.50, 57.24 degrees
Sites, in units of the cell vectors:
Be 0.2500 0.7500 0.5000
La 0.0511 0.0511 0.0000
Sr 0.7500 0.2500 0.5000
La 0.4489 0.4489 0.0000


# 2
This record from Alexandria via LeMat-Bulk describes a relaxed structure of Re2PtF. The functional is PBE.

* V: 14.07 A^3/atom
* spin magnetization: 0.00 Bohr magnetons per cell
* density of states at the Fermi level: 3.7 states/eV per cell
* symmetry: No. 225
* formation energy without anion corrections: 130 kJ/mol of formula units
* distance to the lowest polymorph of the same formula: 0 meV/atom
* theoretical density: 17.3 Mg/m³

Cell lengths 4.3019, 4.3019, 4.3019 Å; angles 60.00, 60.00, 60.00 degrees
Sites, in units of the cell vectors:
Re 0.7500 0.7500 0.7500
F 0.0000 0.0000 0.0000
Pt 0.5000 0.5000 0.5000
Re 0.2500 0.2500 0.2500


# 3
This record from Alexandria via LeMat-Bulk describes a relaxed structure of Ba3CdCo. The functional is PBE.

* V: 41.02 A^3/atom
* calculated formation energy: 0.151 eV/atom
* spin magnetization: 0.00 Bohr magnetons per cell
* density of states at the Fermi level: 6.7 states/eV per cell
* symmetry: No. 221
* theoretical density: 4.7 Mg/m³

Cell lengths 5.8972, 5.8972, 5.8972 Å; angles 90.00, 90.00, 90.00 degrees
Sites, in units of the cell vectors:
Ba 0.0000 0.0000 0.5000
Ba 0.0000 0.5000 0.0000
Ba 0.5000 0.0000 0.0000
Co 0.0000 0.0000 0.0000
Cd 0.5000 0.5000 0.5000


# 4
This record from Alexandria via LeMat-Bulk describes a relaxed structure of CsZnAsBr2. The functional is PBE.

* V: 33.03 A^3/atom
* spin magnetization: 2.02 Bohr magnetons per cell
* density of states at the Fermi level: 0.6 states/eV per cell
* symmetry: No. 123
* formation energy without anion corrections: -275 kJ/mol of formula units
* distance to the lowest polymorph of the same formula: 0 meV/atom
* theoretical density: 4.4 Mg/m³

Cell lengths 5.7852, 5.7852, 4.9342 Å; angles 90.00, 90.00, 90.00 degrees
Site moments in Bohr magnetons follow the coordinates.
Sites, in units of the cell vectors:
Cs 0.5000 0.5000 0.5000  0.01
As 0.0000 0.0000 0.5000  0.79
Br 0.0000 0.5000 0.0000  0.09
Zn 0.0000 0.0000 0.0000  0.01
Br 0.5000 0.0000 0.0000  0.09


# 5
This record from Alexandria via LeMat-Bulk describes a relaxed structure of Pr6Ge3O. The functional is PBE.

* V: 27.17 A^3/atom
* spin magnetization: 0.00 Bohr magnetons per cell
* density of states at the Fermi level: 16.9 states/eV per cell
* symmetry: No. 14
* formation energy without anion corrections: -980 kJ/mol of formula units
* theoretical density: 6.6 Mg/m³

Cell lengths 6.5870, 7.9939, 10.3213 Å; angles 90.00, 89.34, 90.00 degrees
Sites, in units of the cell vectors:
Pr 0.6389 0.4531 0.2646
O 0.5000 0.5000 0.5000
Pr 0.1713 0.3367 0.4422
Pr 0.1378 0.2947 0.0610
Ge 0.5000 0.5000 0.0000
Pr 0.3622 0.7947 0.4390
O 0.0000 0.0000 0.0000
Pr 0.3611 0.5469 0.7354
Pr 0.8287 0.6633 0.5578
Pr 0.1389 0.0469 0.7646
Pr 0.8622 0.7053 0.9390
Pr 0.6713 0.1633 0.9422
Pr 0.6378 0.2053 0.5610
Pr 0.3287 0.8367 0.0578
Ge 0.0000 0.0000 0.5000
Pr 0.8611 0.9531 0.2354
Ge 0.9301 0.3896 0.7524
Ge 0.5699 0.8896 0.7476
Ge 0.0699 0.6104 0.2476
Ge 0.4301 0.1104 0.2524


# 6
This record from Alexandria via LeMat-Bulk describes a relaxed structure of LiFePtAu. The functional is PBE.

* V: 14.50 A^3/atom
* calculated formation energy: -0.233 eV/atom
* spin magnetization: 3.61 Bohr magnetons per cell
* density of states at the Fermi level: 3.5 states/eV per cell
* symmetry: No. 216
* theoretical density: 13.0 Mg/m³

Cell lengths 4.3449, 4.3449, 4.3449 Å; angles 60.00, 60.00, 60.00 degrees
Site moments in Bohr magnetons follow the coordinates.
Sites, in units of the cell vectors:
Fe 0.0000 0.0000 0.0000  3.17
Au 0.2500 0.2500 0.2500  0.07
Pt 0.7500 0.7500 0.7500  0.31
Li 0.5000 0.5000 0.5000  0.00


# 7
This record from Alexandria via LeMat-Bulk describes a relaxed structure of TmBC. The functional is PBE.

* V: 14.46 A^3/atom
* calculated formation energy: 0.028 eV/atom
* spin magnetization: 0.00 Bohr magnetons per cell
* density of states at the Fermi level: 0.9 states/eV per cell
* symmetry: No. 107
* distance to the lowest polymorph of the same formula: 494 meV/atom
* theoretical density: 7.3 Mg/m³

Cell lengths 3.6857, 3.6857, 4.1212 Å; angles 116.56, 116.56, 90.00 degrees
Sites, in units of the cell vectors:
Tm 0.6100 0.6100 0.2201
C 0.2292 0.2292 0.4585
B 0.0107 0.0107 0.0214


# 8
This record from Alexandria via LeMat-Bulk describes a relaxed structure of RbTl2Ga3F12. The functional is PBE.

* V: 16.65 A^3/atom
* spin magnetization: 0.00 Bohr magnetons per cell
* density of states at the Fermi level: 0.0 states/eV per cell
* symmetry: No. 166
* formation energy without anion corrections: -4380 kJ/mol of formula units
* theoretical density: 5.2 Mg/m³

Cell lengths 7.5182, 7.5182, 7.5182 Å; angles 59.89, 59.89, 59.89 degrees
Sites, in units of the cell vectors:
F 0.1002 0.7253 0.7253
F 0.1254 0.5460 0.1254
Rb 0.0000 0.0000 0.0000
Ga 0.5000 0.0000 0.0000
F 0.8746 0.4540 0.8746
Tl 0.6314 0.6314 0.6314
F 0.1254 0.1254 0.5460
F 0.2747 0.2747 0.8998
F 0.4540 0.8746 0.8746
Tl 0.3686 0.3686 0.3686
F 0.8746 0.8746 0.4540
F 0.8998 0.2747 0.2747
F 0.7253 0.1002 0.7253
Ga 0.0000 0.0000 0.5000
F 0.7253 0.7253 0.1002
Ga 0.0000 0.5000 0.0000
F 0.2747 0.8998 0.2747
F 0.5460 0.1254 0.1254


# 9
This record from Alexandria via LeMat-Bulk describes a relaxed structure of NiSnRu. The functional is PBE.

* V: 15.09 A^3/atom
* calculated formation energy: 0.113 eV/atom
* spin magnetization: 0.30 Bohr magnetons per cell
* density of states at the Fermi level: 4.9 states/eV per cell
* symmetry: No. 107
* theoretical density: 10.2 Mg/m³

Cell lengths 3.2170, 3.2170, 4.9293 Å; angles 109.05, 109.05, 90.00 degrees
Site moments in Bohr magnetons follow the coordinates.
Sites, in units of the cell vectors:
Sn 0.9451 0.9451 0.8903  -0.01
Ni 0.2864 0.2864 0.5728  0.14
Ru 0.6185 0.6185 0.2369  0.17


# 10
This record from Alexandria via LeMat-Bulk describes a relaxed structure of Rb2Na2SiO4. The functional is PBE.

* V: 17.18 A^3/atom
* spin magnetization: 0.72 Bohr magnetons per cell
* density of states at the Fermi level: 0.0 states/eV per cell
* symmetry: No. 61
* formation energy without anion corrections: -1760 kJ/mol of formula units
* theoretical density: 3.3 Mg/m³

Cell lengths 9.9275, 11.0471, 11.2803 Å; angles 90.00, 90.00, 90.00 degrees
Sites, in units of the cell vectors:
O 0.6900 0.3102 0.8812
Na 0.0338 0.7510 0.4058
Na 0.9077 0.9501 0.7463
Na 0.4077 0.9501 0.7537
O 0.8413 0.1061 0.1983
Na 0.0923 0.0499 0.2537
Rb 0.6390 0.3505 0.1369
O 0.3413 0.3939 0.8017
O 0.0395 0.8514 0.5883
O 0.1900 0.1898 0.1188
Na 0.4077 0.5499 0.2537
Rb 0.2982 0.9370 0.0356
Na 0.5923 0.4501 0.7463
Na 0.4662 0.2510 0.4058
Na 0.0923 0.4501 0.7537
Rb 0.2018 0.4370 0.0356
Na 0.5338 0.7510 0.0942
O 0.8100 0.8102 0.8812
Rb 0.6390 0.1495 0.6369
Rb 0.1390 0.3505 0.3631
O 0.8100 0.6898 0.3812
Rb 0.7982 0.9370 0.4644
Rb 0.3610 0.8505 0.3631
Na 0.5923 0.0499 0.2463
O 0.6224 0.6630 0.7742
O 0.3100 0.6898 0.1188
Si 0.3415 0.1958 0.1818
O 0.3776 0.1630 0.7258
O 0.1224 0.8370 0.2258
Rb 0.2018 0.0630 0.5356
O 0.4605 0.1486 0.0883
Na 0.9077 0.5499 0.2463
O 0.1900 0.3102 0.6188
O 0.1587 0.6061 0.3017
Na 0.9662 0.2490 0.5942
O 0.8776 0.3370 0.2742
Rb 0.2982 0.5630 0.5356
O 0.3413 0.1061 0.3017
Na 0.4662 0.2490 0.9058
O 0.1587 0.8939 0.8017
Si 0.1585 0.6958 0.1818
O 0.6224 0.8370 0.2742
O 0.6587 0.8939 0.6983
O 0.3776 0.3370 0.2258
O 0.9605 0.1486 0.4117
Na 0.9662 0.2510 0.0942
Si 0.1585 0.8042 0.6818
Na 0.0338 0.7490 0.9058
O 0.4605 0.3514 0.5883
Rb 0.7018 0.4370 0.4644
O 0.3100 0.8102 0.6188
Si 0.8415 0.3042 0.8182
Rb 0.8610 0.6495 0.6369
Na 0.5338 0.7490 0.5942
Si 0.6585 0.6958 0.3182
Rb 0.8610 0.8505 0.1369
Rb 0.7018 0.0630 0.9644
O 0.5395 0.8514 0.9117
Rb 0.1390 0.1495 0.8631
O 0.0395 0.6486 0.0883
O 0.9605 0.3514 0.9117
Rb 0.7982 0.5630 0.9644
Si 0.8415 0.1958 0.3182
O 0.8776 0.1630 0.7742
Rb 0.3610 0.6495 0.8631
O 0.6900 0.1898 0.3812
O 0.1224 0.6630 0.7258
Si 0.6585 0.8042 0.8182
O 0.8413 0.3939 0.6983
O 0.5395 0.6486 0.4117
Si 0.3415 0.3042 0.6818
O 0.6587 0.6061 0.1983


# 11
This record from Alexandria via LeMat-Bulk describes a relaxed structure of Ca2TlGe3Pd4. The functional is PBE.

* V: 20.34 A^3/atom
* calculated formation energy: -0.595 eV/atom
* spin magnetization: 0.00 Bohr magnetons per cell
* density of states at the Fermi level: 5.3 states/eV per cell
* symmetry: No. 115
* theoretical density: 7.6 Mg/m³

Cell lengths 4.3191, 4.3191, 10.9044 Å; angles 90.00, 90.00, 90.00 degrees
Sites, in units of the cell vectors:
Ge 0.0000 0.0000 0.5000
Pd 0.0000 0.0000 0.0000
Pd 0.5000 0.5000 0.0000
Tl 0.5000 0.5000 0.5000
Pd 0.5000 0.0000 0.6555
Ge 0.5000 0.0000 0.8792
Pd 0.0000 0.5000 0.3445
Ge 0.0000 0.5000 0.1208
Ca 0.0000 0.5000 0.7615
Ca 0.5000 0.0000 0.2385


# 12
This record from Alexandria via LeMat-Bulk describes a relaxed structure of SrPmCo4. The functional is PBE.

* V: 16.79 A^3/atom
* calculated formation energy: 0.161 eV/atom
* spin magnetization: 4.70 Bohr magnetons per cell
* density of states at the Fermi level: 9.9 states/eV per cell
* symmetry: No. 216
* theoretical density: 7.7 Mg/m³

Cell lengths 5.2225, 5.2225, 5.2225 Å; angles 60.00, 60.00, 60.00 degrees
Site moments in Bohr magnetons follow the coordinates.
Sites, in units of the cell vectors:
Sr 0.2500 0.2500 0.2500  -0.10
Pm 0.0000 0.0000 0.0000  -0.28
Co 0.6262 0.6262 0.1215  1.38
Co 0.1215 0.6262 0.6262  1.38
Co 0.6262 0.1215 0.6262  1.38
Co 0.6262 0.6262 0.6262  1.38


What is the formula in the ninth record? NiSnRu


density of states at the Fermi level of number 4 (CsZnAsBr2)? 0.6 states/eV per cell


V of number 7 (TmBC)? 14.46 A^3/atom


Which formula does entry 10 have? Rb2Na2SiO4